Record 1
Computed, not measured: a relaxed CaMnBr2 crystal at the GGA-PBEsol level of DFT. Values from VASP.

Output
Raw formation energy in eV per formula unit: -1.8
SG: I-4m2, No. 119

Quantum ESPRESSO input file:
```
&SYSTEM
  ibrav = 0, nat = 4, ntyp = 3
/
ATOMIC_SPECIES
Mn 54.94 Mn.upf
Br 79.90 Br.upf
Ca 40.08 Ca.upf
CELL_PARAMETERS angstrom
-2.5647 -2.6444 1.6376
-1.5288 -0.7767 -3.6485
6.0432 -2.6301 0.2549
ATOMIC_POSITIONS crystal
Mn 0.2500 0.7500 0.5000
Br 0.7500 0.2500 0.5000
Br 0.0000 0.0000 0.0000
Ca 0.5000 0.5000 0.0000
```



Record 2
Computed, not measured: a relaxed CaMnBr crystal at the GGA-PBEsol level of DFT. Values from VASP.

Output
Raw formation energy in eV per formula unit: 1.3
SG: F-43m, No. 216

Quantum ESPRESSO input file:
```
&SYSTEM
  ibrav = 0, nat = 3, ntyp = 3
/
ATOMIC_SPECIES
Ca 40.08 Ca.upf
Mn 54.94 Mn.upf
Br 79.90 Br.upf
CELL_PARAMETERS angstrom
4.9471 0.0000 0.0000
2.4736 4.2843 0.0000
2.4736 1.4281 4.0393
ATOMIC_POSITIONS crystal
Ca 0.5000 0.5000 0.5000
Mn 0.2500 0.2500 0.2500
Br 0.0000 0.0000 0.0000
```



Among the records above, which one has the lowest raw formation energy?
CaMnBr2



The lowest raw formation energy belongs to which entry?
CaMnBr2